1.
Computed, not measured: a relaxed GdHoCdGa crystal at the PBE level of DFT.

Geometry as CIF:
```
data_GdHoCdGa
_chemical_formula_sum 'Gd4 Ho4 Cd4 Ga4'
_space_group_name_H-M_alt 'F -4 3 m'
_space_group_IT_number 216
_space_group_name_Hall 'F -4 2 3'
_cell_length_a 7.345
_cell_length_b 7.345
_cell_length_c 7.345
_cell_angle_alpha 90.00
_cell_angle_beta 90.00
_cell_angle_gamma 90.00
loop_
_atom_site_label
_atom_site_type_symbol
_atom_site_fract_x
_atom_site_fract_y
_atom_site_fract_z
Gd1 Gd 0.000 0.000 0.000
Ho1 Ho 0.000 0.000 0.500
Cd1 Cd 0.250 0.250 0.750
Ga1 Ga 0.250 0.250 0.250
```


2.
Computed, not measured: a relaxed GdCdInGa crystal at the PBE level of DFT.

Geometry as CIF:
```
data_GdCdInGa
_chemical_formula_sum 'Gd4 Cd4 In4 Ga4'
_space_group_name_H-M_alt 'F -4 3 m'
_space_group_IT_number 216
_space_group_name_Hall 'F -4 2 3'
_cell_length_a 7.222
_cell_length_b 7.222
_cell_length_c 7.222
_cell_angle_alpha 90.00
_cell_angle_beta 90.00
_cell_angle_gamma 90.00
loop_
_atom_site_label
_atom_site_type_symbol
_atom_site_fract_x
_atom_site_fract_y
_atom_site_fract_z
Gd1 Gd 0.000 0.000 0.000
Cd1 Cd 0.250 0.250 0.750
In1 In 0.000 0.000 0.500
Ga1 Ga 0.250 0.250 0.250
```


3.
Computed, not measured: a relaxed LiGdCdGa crystal at the PBE level of DFT.

Geometry as CIF:
```
data_LiGdCdGa
_chemical_formula_sum 'Li4 Gd4 Cd4 Ga4'
_space_group_name_H-M_alt 'F -4 3 m'
_space_group_IT_number 216
_space_group_name_Hall 'F -4 2 3'
_cell_length_a 7.028
_cell_length_b 7.028
_cell_length_c 7.028
_cell_angle_alpha 90.00
_cell_angle_beta 90.00
_cell_angle_gamma 90.00
loop_
_atom_site_label
_atom_site_type_symbol
_atom_site_fract_x
_atom_site_fract_y
_atom_site_fract_z
Li1 Li 0.000 0.000 0.000
Gd1 Gd 0.000 0.000 0.500
Cd1 Cd 0.250 0.250 0.750
Ga1 Ga 0.250 0.250 0.250
```


4.
Computed, not measured: a relaxed GdLuCdGa crystal at the PBE level of DFT.

Geometry as CIF:
```
data_GdLuCdGa
_chemical_formula_sum 'Gd4 Lu4 Cd4 Ga4'
_space_group_name_H-M_alt 'F -4 3 m'
_space_group_IT_number 216
_space_group_name_Hall 'F -4 2 3'
_cell_length_a 7.288
_cell_length_b 7.288
_cell_length_c 7.288
_cell_angle_alpha 90.00
_cell_angle_beta 90.00
_cell_angle_gamma 90.00
loop_
_atom_site_label
_atom_site_type_symbol
_atom_site_fract_x
_atom_site_fract_y
_atom_site_fract_z
Gd1 Gd 0.000 0.000 0.000
Lu1 Lu 0.000 0.000 0.500
Cd1 Cd 0.250 0.250 0.750
Ga1 Ga 0.250 0.250 0.250
```


5.
Computed, not measured: a relaxed GdMgCdGa crystal at the PBE level of DFT.

Geometry as CIF:
```
data_GdMgCdGa
_chemical_formula_sum 'Gd4 Mg4 Cd4 Ga4'
_space_group_name_H-M_alt 'F -4 3 m'
_space_group_IT_number 216
_space_group_name_Hall 'F -4 2 3'
_cell_length_a 7.118
_cell_length_b 7.118
_cell_length_c 7.118
_cell_angle_alpha 90.00
_cell_angle_beta 90.00
_cell_angle_gamma 90.00
loop_
_atom_site_label
_atom_site_type_symbol
_atom_site_fract_x
_atom_site_fract_y
_atom_site_fract_z
Gd1 Gd 0.000 0.000 0.000
Mg1 Mg 0.000 0.000 0.500
Cd1 Cd 0.250 0.250 0.750
Ga1 Ga 0.250 0.250 0.250
```


6.
Computed, not measured: a relaxed NaGdCdGa crystal at the PBE level of DFT.

Geometry as CIF:
```
data_NaGdCdGa
_chemical_formula_sum 'Na4 Gd4 Cd4 Ga4'
_space_group_name_H-M_alt 'F -4 3 m'
_space_group_IT_number 216
_space_group_name_Hall 'F -4 2 3'
_cell_length_a 7.277
_cell_length_b 7.277
_cell_length_c 7.277
_cell_angle_alpha 90.00
_cell_angle_beta 90.00
_cell_angle_gamma 90.00
loop_
_atom_site_label
_atom_site_type_symbol
_atom_site_fract_x
_atom_site_fract_y
_atom_site_fract_z
Na1 Na 0.000 0.000 0.000
Gd1 Gd 0.000 0.000 0.500
Cd1 Cd 0.250 0.250 0.750
Ga1 Ga 0.250 0.250 0.250
```


7.
Computed, not measured: a relaxed NdGdCdGa crystal at the PBE level of DFT.

Geometry as CIF:
```
data_NdGdCdGa
_chemical_formula_sum 'Nd4 Gd4 Cd4 Ga4'
_space_group_name_H-M_alt 'F -4 3 m'
_space_group_IT_number 216
_space_group_name_Hall 'F -4 2 3'
_cell_length_a 7.477
_cell_length_b 7.477
_cell_length_c 7.477
_cell_angle_alpha 90.00
_cell_angle_beta 90.00
_cell_angle_gamma 90.00
loop_
_atom_site_label
_atom_site_type_symbol
_atom_site_fract_x
_atom_site_fract_y
_atom_site_fract_z
Nd1 Nd 0.000 0.000 0.000
Gd1 Gd 0.000 0.000 0.500
Cd1 Cd 0.250 0.250 0.750
Ga1 Ga 0.250 0.250 0.250
```


8.
Computed, not measured: a relaxed PmGdCdGa crystal at the PBE level of DFT.

Geometry as CIF:
```
data_PmGdCdGa
_chemical_formula_sum 'Pm4 Gd4 Cd4 Ga4'
_space_group_name_H-M_alt 'F -4 3 m'
_space_group_IT_number 216
_space_group_name_Hall 'F -4 2 3'
_cell_length_a 7.448
_cell_length_b 7.448
_cell_length_c 7.448
_cell_angle_alpha 90.00
_cell_angle_beta 90.00
_cell_angle_gamma 90.00
loop_
_atom_site_label
_atom_site_type_symbol
_atom_site_fract_x
_atom_site_fract_y
_atom_site_fract_z
Pm1 Pm 0.000 0.000 0.000
Gd1 Gd 0.000 0.000 0.500
Cd1 Cd 0.250 0.250 0.750
Ga1 Ga 0.250 0.250 0.250
```


9.
Computed, not measured: a relaxed GdCdGaPt crystal at the PBE level of DFT.

Geometry as CIF:
```
data_GdCdGaPt
_chemical_formula_sum 'Gd4 Cd4 Ga4 Pt4'
_space_group_name_H-M_alt 'F -4 3 m'
_space_group_IT_number 216
_space_group_name_Hall 'F -4 2 3'
_cell_length_a 6.876
_cell_length_b 6.876
_cell_length_c 6.876
_cell_angle_alpha 90.00
_cell_angle_beta 90.00
_cell_angle_gamma 90.00
loop_
_atom_site_label
_atom_site_type_symbol
_atom_site_fract_x
_atom_site_fract_y
_atom_site_fract_z
Gd1 Gd 0.000 0.000 0.000
Cd1 Cd 0.000 0.000 0.500
Ga1 Ga 0.250 0.250 0.250
Pt1 Pt 0.250 0.250 0.750
```


10.
Computed, not measured: a relaxed GdPuCdGa crystal at the PBE level of DFT.

Geometry as CIF:
```
data_GdPuCdGa
_chemical_formula_sum 'Gd4 Pu4 Cd4 Ga4'
_space_group_name_H-M_alt 'F -4 3 m'
_space_group_IT_number 216
_space_group_name_Hall 'F -4 2 3'
_cell_length_a 7.411
_cell_length_b 7.411
_cell_length_c 7.411
_cell_angle_alpha 90.00
_cell_angle_beta 90.00
_cell_angle_gamma 90.00
loop_
_atom_site_label
_atom_site_type_symbol
_atom_site_fract_x
_atom_site_fract_y
_atom_site_fract_z
Gd1 Gd 0.000 0.000 0.000
Pu1 Pu 0.000 0.000 0.500
Cd1 Cd 0.250 0.250 0.750
Ga1 Ga 0.250 0.250 0.250
```


11.
Computed, not measured: a relaxed SrGdCdGa crystal at the PBE level of DFT.

Geometry as CIF:
```
data_SrGdCdGa
_chemical_formula_sum 'Sr4 Gd4 Cd4 Ga4'
_space_group_name_H-M_alt 'F -4 3 m'
_space_group_IT_number 216
_space_group_name_Hall 'F -4 2 3'
_cell_length_a 7.656
_cell_length_b 7.656
_cell_length_c 7.656
_cell_angle_alpha 90.00
_cell_angle_beta 90.00
_cell_angle_gamma 90.00
loop_
_atom_site_label
_atom_site_type_symbol
_atom_site_fract_x
_atom_site_fract_y
_atom_site_fract_z
Sr1 Sr 0.000 0.000 0.000
Gd1 Gd 0.000 0.000 0.500
Cd1 Cd 0.250 0.250 0.250
Ga1 Ga 0.250 0.250 0.750
```


12.
Computed, not measured: a relaxed GdTlCdGa crystal at the PBE level of DFT.

Geometry as CIF:
```
data_GdTlCdGa
_chemical_formula_sum 'Gd4 Tl4 Cd4 Ga4'
_space_group_name_H-M_alt 'F -4 3 m'
_space_group_IT_number 216
_space_group_name_Hall 'F -4 2 3'
_cell_length_a 7.293
_cell_length_b 7.293
_cell_length_c 7.293
_cell_angle_alpha 90.00
_cell_angle_beta 90.00
_cell_angle_gamma 90.00
loop_
_atom_site_label
_atom_site_type_symbol
_atom_site_fract_x
_atom_site_fract_y
_atom_site_fract_z
Gd1 Gd 0.000 0.000 0.000
Tl1 Tl 0.250 0.250 0.250
Cd1 Cd 0.000 0.000 0.500
Ga1 Ga 0.250 0.250 0.750
```


13.
Computed, not measured: a relaxed GdTmCdGa crystal at the PBE level of DFT.

Geometry as CIF:
```
data_GdTmCdGa
_chemical_formula_sum 'Gd4 Tm4 Cd4 Ga4'
_space_group_name_H-M_alt 'F -4 3 m'
_space_group_IT_number 216
_space_group_name_Hall 'F -4 2 3'
_cell_length_a 7.315
_cell_length_b 7.315
_cell_length_c 7.315
_cell_angle_alpha 90.00
_cell_angle_beta 90.00
_cell_angle_gamma 90.00
loop_
_atom_site_label
_atom_site_type_symbol
_atom_site_fract_x
_atom_site_fract_y
_atom_site_fract_z
Gd1 Gd 0.000 0.000 0.000
Tm1 Tm 0.000 0.000 0.500
Cd1 Cd 0.250 0.250 0.250
Ga1 Ga 0.250 0.250 0.750
```


14.
Computed, not measured: a relaxed GdYCdGa crystal at the PBE level of DFT.

Geometry as CIF:
```
data_GdYCdGa
_chemical_formula_sum 'Gd4 Y4 Cd4 Ga4'
_space_group_name_H-M_alt 'F -4 3 m'
_space_group_IT_number 216
_space_group_name_Hall 'F -4 2 3'
_cell_length_a 7.368
_cell_length_b 7.368
_cell_length_c 7.368
_cell_angle_alpha 90.00
_cell_angle_beta 90.00
_cell_angle_gamma 90.00
loop_
_atom_site_label
_atom_site_type_symbol
_atom_site_fract_x
_atom_site_fract_y
_atom_site_fract_z
Gd1 Gd 0.000 0.000 0.000
Y1 Y 0.000 0.000 0.500
Cd1 Cd 0.250 0.250 0.750
Ga1 Ga 0.250 0.250 0.250
```


15.
Computed, not measured: a relaxed GdZnCdGa crystal at the PBE level of DFT.

Geometry as CIF:
```
data_GdZnCdGa
_chemical_formula_sum 'Gd4 Zn4 Cd4 Ga4'
_space_group_name_H-M_alt 'F -4 3 m'
_space_group_IT_number 216
_space_group_name_Hall 'F -4 2 3'
_cell_length_a 6.938
_cell_length_b 6.938
_cell_length_c 6.938
_cell_angle_alpha 90.00
_cell_angle_beta 90.00
_cell_angle_gamma 90.00
loop_
_atom_site_label
_atom_site_type_symbol
_atom_site_fract_x
_atom_site_fract_y
_atom_site_fract_z
Gd1 Gd 0.000 0.000 0.000
Zn1 Zn 0.250 0.250 0.750
Cd1 Cd 0.000 0.000 0.500
Ga1 Ga 0.250 0.250 0.250
```


Computed uncorrected energy, in the same sequence as the records: -6.10 -5.44 -5.34 -6.07 -5.28 -5.06 -6.14 -6.14 -6.63 -8.32 -5.28 -5.31 -6.06 -6.59 -5.16 eV/atom.